An optimized crystal structure of Rb2Pr. Source: the Open Quantum Materials Database, functional PBE.

Computed properties:
Calculated total energy, eV/atom: -0.897

abc: 18.0182 18.0182 18.0182
angles: 90.00 90.00 90.00
Space group Fd-3m (No. 227, origin choice 2)
Inequivalent atoms, fractional coordinates:
Rb (0.0000, 0.0000, 0.0000)
Pr (0.1250, 0.1250, 0.1250)

---

An optimized crystal structure of TbHfPO. Source: the Open Quantum Materials Database, functional PBE.

Computed properties:
Calculated total energy, eV/atom: -7.712
Energy above the lowest structure with this stoichiometry, kJ/mol of formula units: 201.6

abc: 4.0403 4.0403 8.1560
angles: 90.00 90.00 90.00
Space group P4/nmm (No. 129, origin choice 2)
Inequivalent atoms, fractional coordinates:
Tb (0.2500, 0.7500, 0.0000)
Hf (0.2500, 0.2500, 0.3860)
P (0.2500, 0.2500, 0.7637)
O (0.2500, 0.7500, 0.5000)

---

An optimized crystal structure of TbSm2In3AgPt2. Source: the Open Quantum Materials Database, functional PBE.

Computed properties:
Calculated total energy, eV/atom: -4.949

abc: 3.9029 13.5629 7.8477
angles: 90.00 90.00 90.00
Space group Amm2 (No. 38)
Inequivalent atoms, fractional coordinates:
Tb (0.0000, 0.0000, 0.0000)
Sm (0.0000, 0.2064, 0.6204)
In (0.5000, 0.0000, 0.6779)
In (0.5000, 0.1320, 0.2807)
Ag (0.0000, 0.0000, 0.4122)
Pt (0.5000, 0.1644, 0.9146)

---

An optimized crystal structure of Dy3Er2Lu2Ir2Se2. Source: the Open Quantum Materials Database, functional PBE.

Computed properties:
Calculated total energy, eV/atom: -6.234

abc: 3.8866 15.0558 9.1067
angles: 90.00 90.00 90.00
Space group Imm2 (No. 44)
Inequivalent atoms, fractional coordinates:
Dy (0.0000, 0.0000, 0.0000)
Dy (0.0000, 0.3577, 0.7435)
Er (0.0000, 0.1243, 0.5879)
Lu (0.0000, 0.3172, 0.3745)
Ir (0.0000, 0.2404, 0.0707)
Se (0.0000, 0.0000, 0.3398)
Se (0.0000, 0.5000, 0.2440)

---

Question: Which of these has the highest calculated total energy?
Answer: Rb2Pr

---

Question: Look up the calculated total energy of the third one.
Answer: -4.949 eV/atom

---

Question: Look up the calculated total energy of the third one.
Answer: -4.949 eV/atom

---

Question: Number 1 is which compound?
Answer: Rb2Pr